# 1
Material: Pr7Dy4Pu
Method: DFT, GGA-PBE
State: relaxed

Properties
Energy relative to the elements = 0.216 eV per atom
Crystal system = monoclinic

Structure (extended XYZ):
```
12
Lattice="-0.1436 -1.3679 5.4104 -2.0530 -5.8971 1.3346 11.1962 -7.1250 1.3759" Properties=species:S:1:pos:R:3 pbc="T T T"
Pr 8.7851 -10.6843 6.1721
Pr 0.2144 -3.7057 1.9488
Pr 6.3564 -11.0441 3.1366
Pr 2.6431 -3.3459 4.9844
Pr 3.5307 -8.6193 3.6746
Pr -0.0718 -0.6839 2.7052
Pr 5.4688 -5.7707 4.4463
Dy 1.0172 -6.3692 4.1768
Dy 7.9823 -8.0208 3.9441
Dy 5.7448 -8.9633 6.5265
Dy 3.2547 -5.4267 1.5945
Pu 0.0000 0.0000 0.0000
```

# 2
Material: Pr8Dy4Pu
Method: DFT, GGA-PBE
State: relaxed

Properties
Energy relative to the elements = 0.441 eV per atom
Crystal system = trigonal

Structure (extended XYZ):
```
13
Lattice="-5.7758 -2.8594 4.5403 5.1136 -5.9376 0.8635 3.1725 4.9505 5.2513" Properties=species:S:1:pos:R:3 pbc="T T T"
Pr 2.9906 -3.6339 2.2778
Pr 0.4898 -5.6540 6.1843
Pr -0.4802 -0.2125 8.3772
Pr 4.9619 -1.7509 6.5397
Pr 1.8873 -2.8917 8.0105
Pr 0.6231 -0.9547 2.6446
Pr -2.4515 -2.0955 4.1153
Pr 2.0205 1.8076 4.4707
Dy -1.3016 1.0456 4.8958
Dy 4.1431 -0.4935 3.0574
Dy -0.3311 -4.3985 2.7019
Dy 0.0000 0.0000 0.0000
Pu 1.2552 -1.9232 5.3275
```

# 3
Material: Pr2DyPu
Method: DFT, GGA-PBE
State: relaxed

Properties
Energy relative to the elements = 0.155 eV per atom
Crystal system = tetragonal

Structure (extended XYZ):
```
4
Lattice="-0.7200 3.2971 -3.7465 2.4959 -3.0836 -3.1934 -4.3793 -2.3104 -1.1917" Properties=species:S:1:pos:R:3 pbc="T T T"
Pr -2.1896 -1.1552 -0.5958
Pr 1.2479 -1.5418 -1.5967
Dy -1.3017 -1.0485 -4.0658
Pu -0.3600 1.6486 -1.8732
```

# 4
Material: Pr2DyPu
Method: DFT, GGA-PBE
State: relaxed

Properties
Energy relative to the elements = 0.120 eV per atom
Crystal system = tetragonal

Structure (extended XYZ):
```
4
Lattice="3.5883 0.0000 0.0000 0.0000 3.5883 0.0000 0.0000 0.0000 10.2375" Properties=species:S:1:pos:R:3 pbc="T T T"
Pr 0.0000 0.0000 7.6392
Pr 0.0000 0.0000 2.5983
Dy 1.7942 1.7942 0.0000
Pu 1.7942 1.7942 5.1188
```

# 5
Material: Pr4Dy5Pu
Method: DFT, GGA-PBE
State: relaxed

Properties
Energy relative to the elements = 0.248 eV per atom
Crystal system = orthorhombic

Structure (extended XYZ):
```
20
Lattice="-1.2480 1.7246 5.3388 3.2595 -10.2968 4.0881 9.6132 3.4880 1.1205" Properties=species:S:1:pos:R:3 pbc="T T T"
Pr -0.3352 -0.6048 4.7582
Pr 1.8282 2.2974 4.3290
Pr 5.9118 3.7791 4.8050
Pr 1.7225 -7.1049 7.3389
Pr 6.7254 -4.8717 4.6923
Pr 3.3601 -3.9773 3.6141
Pr 8.8898 -1.9709 4.2587
Pr 5.5235 -1.0751 3.1849
Dy 3.0268 -0.8175 5.6117
Dy 6.7299 0.5261 6.0433
Dy 4.4937 2.1764 1.8987
Dy 4.2711 -4.7484 7.1723
Dy 7.9742 -3.4048 7.6039
Dy 4.1768 -7.2282 4.8589
Dy 10.0869 -5.0838 5.5478
Dy 0.6946 -3.8562 6.0444
Dy 8.0717 1.2821 3.0203
Dy 2.1616 -0.8623 2.3315
Pu -0.3115 0.4304 1.3323
Pu 5.4998 -2.1102 6.6108
```

# 6
Material: Pr4Dy3Pu
Method: DFT, GGA-PBE
State: relaxed

Properties
Energy relative to the elements = 0.157 eV per atom
Crystal system = orthorhombic

Structure (extended XYZ):
```
8
Lattice="-3.4663 -0.4597 0.2173 1.2956 -11.2144 -3.0550 1.6985 4.1918 7.7186" Properties=species:S:1:pos:R:3 pbc="T T T"
Pr -1.2502 -3.4541 0.9928
Pr 0.7779 -4.0283 3.8881
Pr 0.1281 1.5970 5.4209
Pr -0.6003 -9.0793 -0.5400
Pu -1.7332 -0.2298 0.1087
Dy 0.6478 -5.6072 -1.5275
Dy -0.7564 -6.7198 1.9606
Dy 0.2842 -0.7625 2.9203
```